No. 1
## MnCd2Ag (PBE)

Data for a geometry-optimized MnCd2Ag structure.

Structure (POSCAR):
```
MnCd2Ag
1.0
3.331 0.000 0.000
0.000 3.331 0.000
0.000 0.000 6.855
Mn Cd Ag
1 2 1
Direct
0.000 0.000 0.000
0.000 0.000 0.469
0.500 0.500 0.758
0.500 0.500 0.215
```

## Properties
E_form = 14.1 kJ per mole of atoms
Total DFT energy (no corrections) = -3.316 eV/atom
Magnetization = 4.1 μB per formula unit

***

No. 2
## BiSb2Br8 (PBE)

Data for a geometry-optimized BiSb2Br8 structure.

Structure (POSCAR):
```
BiSb2Br8
1.0
6.824 -4.675 0.000
6.824 4.675 0.000
-3.026 0.000 7.418
Bi Sb Br
1 2 8
Direct
0.000 0.000 0.000
0.148 0.148 0.592
0.852 0.852 0.408
0.124 0.727 0.215
0.209 0.209 0.284
0.273 0.876 0.785
0.339 0.339 0.803
0.661 0.661 0.197
0.727 0.124 0.215
0.791 0.791 0.716
0.876 0.273 0.785
```

## Properties
Uncorrected formation energy = -5.44 eV/f.u.
Total DFT energy (no corrections) = -2.813 eV/atom
Magnetization = 0.4 μB per formula unit